The following is a GGA-PBE calculation of crystalline LiBi3 at its relaxed geometry, from Alexandria.

Calculated values
**Mass density**: 8.90 g/cm3
**Offset from the most stable computed form**: 32 meV per atom
**Formation enthalpy at 0 K**: -0.081 eV/atom
**DOS(E_F)**: 2.10 states/eV/cell
**SG**: Imm2 (44)

a b c (Å): 3.635 5.690 6.640
angles (deg): 115.37 105.89 90.00
Fractional coordinates of all 4 atoms:
Bi: 0.257 0.575 0.514
Bi: 0.500 0.524 0.000
Bi: 0.743 0.061 0.486
Li: 0.000 0.006 0.000


The following is a GGA-PBE calculation of crystalline Li8Bi3 at its relaxed geometry, from Alexandria.

Calculated values
**Mass density**: 3.53 g/cm3
**Formation enthalpy at 0 K**: -0.310 eV/atom
**DOS(E_F)**: 10.69 states/eV/cell
**SG**: R-3m (166)

a b c (Å): 6.846 6.846 6.846
angles (deg): 89.79 89.79 89.79
Fractional coordinates of all 11 atoms:
Li: 0.721 0.281 0.281
Li: 0.281 0.281 0.721
Li: 0.281 0.721 0.281
Li: 0.281 0.281 0.281
Li: 0.719 0.719 0.719
Li: 0.719 0.279 0.719
Li: 0.719 0.719 0.279
Li: 0.279 0.719 0.719
Bi: 0.500 0.000 0.500
Bi: 0.000 0.500 0.500
Bi: 0.500 0.500 0.000


The following is a GGA-PBE calculation of crystalline LiBi at its relaxed geometry, from Alexandria.

Calculated values
**Mass density**: 7.40 g/cm3
**Offset from the most stable computed form**: 319 meV per atom
**Formation enthalpy at 0 K**: -0.061 eV/atom
**DOS(E_F)**: 5.26 states/eV/cell
**SG**: Fm-3m (225)

a b c (Å): 5.787 5.787 5.787
angles (deg): 90.00 90.00 90.00
Fractional coordinates of all 8 atoms:
Li: 0.000 0.000 0.000
Li: 0.000 0.500 0.500
Li: 0.500 0.000 0.500
Li: 0.500 0.500 0.000
Bi: 0.500 0.500 0.500
Bi: 0.500 0.000 0.000
Bi: 0.000 0.500 0.000
Bi: 0.000 0.000 0.500


The following is a GGA-PBE calculation of crystalline LiBi3 at its relaxed geometry, from Alexandria.

Calculated values
**Mass density**: 8.98 g/cm3
**Offset from the most stable computed form**: 32 meV per atom
**Formation enthalpy at 0 K**: -0.080 eV/atom
**DOS(E_F)**: 2.16 states/eV/cell
**SG**: I4/mmm (139)

a b c (Å): 4.828 4.828 6.076
angles (deg): 113.41 113.41 90.00
Fractional coordinates of all 4 atoms:
Bi: 0.750 0.250 0.500
Bi: 0.250 0.750 0.500
Bi: 0.500 0.500 0.000
Li: 0.000 0.000 0.000


The following is a GGA-PBE calculation of crystalline LiBi at its relaxed geometry, from Alexandria.

Calculated values
**Mass density**: 4.06 g/cm3
**Offset from the most stable computed form**: 586 meV per atom
**Formation enthalpy at 0 K**: 0.206 eV/atom
**DOS(E_F)**: 18.27 states/eV/cell
**SG**: I-43m (217)

a b c (Å): 8.910 8.910 8.910
angles (deg): 90.00 90.00 90.00
Fractional coordinates of all 16 atoms:
Li: 0.186 0.186 0.186
Li: 0.186 0.814 0.814
Li: 0.814 0.186 0.814
Li: 0.814 0.814 0.186
Li: 0.686 0.686 0.686
Li: 0.686 0.314 0.314
Li: 0.314 0.686 0.314
Li: 0.314 0.314 0.686
Bi: 0.369 0.369 0.369
Bi: 0.369 0.631 0.631
Bi: 0.631 0.369 0.631
Bi: 0.631 0.631 0.369
Bi: 0.869 0.869 0.869
Bi: 0.869 0.131 0.131
Bi: 0.131 0.869 0.131
Bi: 0.131 0.131 0.869


The following is a GGA-PBE calculation of crystalline Li3Bi at its relaxed geometry, from Alexandria.

Calculated values
**Mass density**: 5.00 g/cm3
**Formation enthalpy at 0 K**: -0.527 eV/atom
**DOS(E_F)**: 0.03 states/eV/cell
**SG**: I4/mmm (139)

a b c (Å): 4.768 4.768 4.760
angles (deg): 120.06 120.06 90.00
Fractional coordinates of all 4 atoms:
Bi: 0.000 0.000 0.000
Li: 0.750 0.250 0.500
Li: 0.250 0.750 0.500
Li: 0.500 0.500 0.000


The following is a GGA-PBE calculation of crystalline Li4Bi3 at its relaxed geometry, from Alexandria.

Calculated values
**Mass density**: 6.87 g/cm3
**Offset from the most stable computed form**: 0 meV per atom
**Formation enthalpy at 0 K**: -0.375 eV/atom
**DOS(E_F)**: 6.01 states/eV/cell
**SG**: R-3 (148)

a b c (Å): 6.138 7.985 7.985
angles (deg): 113.67 104.85 104.85
Fractional coordinates of all 14 atoms:
Li: 0.500 0.000 0.000
Li: 0.000 0.000 0.000
Li: 0.930 0.694 0.546
Li: 0.384 0.454 0.148
Li: 0.236 0.852 0.306
Li: 0.070 0.306 0.454
Li: 0.616 0.546 0.852
Li: 0.764 0.148 0.694
Bi: 0.137 0.595 0.874
Bi: 0.263 0.126 0.721
Bi: 0.542 0.279 0.405
Bi: 0.863 0.405 0.126
Bi: 0.737 0.874 0.279
Bi: 0.458 0.721 0.595


The following is a GGA-PBE calculation of crystalline LiBi at its relaxed geometry, from Alexandria.

Calculated values
**Mass density**: 6.56 g/cm3
**Offset from the most stable computed form**: 222 meV per atom
**Formation enthalpy at 0 K**: -0.158 eV/atom
**DOS(E_F)**: 5.03 states/eV/cell
**SG**: P6_3/m (176)

a b c (Å): 8.237 8.237 5.578
angles (deg): 90.00 90.00 120.00
Fractional coordinates of all 12 atoms:
Li: 0.788 0.029 0.250
Li: 0.759 0.788 0.750
Li: 0.971 0.759 0.250
Li: 0.212 0.971 0.750
Li: 0.241 0.212 0.250
Li: 0.029 0.241 0.750
Bi: 0.071 0.460 0.250
Bi: 0.611 0.071 0.750
Bi: 0.540 0.611 0.250
Bi: 0.929 0.540 0.750
Bi: 0.389 0.929 0.250
Bi: 0.460 0.389 0.750